# 1
LiZr4Ge | PBE | relaxed

abc: 4.4447 4.0205 7.1175
angles: 106.39 90.00 90.00
Last column: nearest neighbours and their distance in Å.
Element x y z (fractional)
Ge: 0.7500 0.4204 0.3410  8 Zr 2.91-3.00, 2 Li 3.12
Zr: 0.7500 0.7638 0.0272  2 Ge 2.94, 8 Zr 3.01-3.27
Zr: 0.2500 0.2417 0.9826  2 Li 2.97, 8 Zr 3.01-3.18, 2 Ge 3.31
Zr: 0.7500 0.0742 0.6495  2 Ge 2.91, 4 Li 3.00, 4 Zr 3.08-3.18
Zr: 0.2500 0.9190 0.3378  2 Li 2.99, 4 Ge 3.00, 6 Zr 3.07-3.15
Li: 0.2500 0.5809 0.6620  8 Zr 2.97-3.00, 2 Ge 3.12

energy: -6.9493 eV per atom



# 2
LuGe | PBE | relaxed

abc: 4.0631 4.0631 4.0631
angles: 60.00 60.00 60.00
Last column: nearest neighbours and their distance in Å.
Element x y z (fractional)
Ge: 0.0000 0.0000 0.0000  6 Lu 2.87
Lu: 0.5000 0.5000 0.5000  6 Ge 2.87

energy: -5.1650 eV per atom



# 3
LuGe3 | PBE | relaxed

abc: 4.0408 4.0408 5.6135
angles: 111.10 111.10 90.00
Last column: nearest neighbours and their distance in Å.
Element x y z (fractional)
Ge: 0.2500 0.7500 0.5000  8 Ge 2.86-3.15, 4 Lu 3.15
Ge: 0.5000 0.5000 0.0000  4 Lu 2.86, 8 Ge 3.15
Ge: 0.7500 0.2500 0.5000  8 Ge 2.86-3.15, 4 Lu 3.15
Lu: 0.0000 0.0000 0.0000  12 Ge 2.86-3.15

energy: -4.8928 eV per atom



# 4
Lu3Ge | PBE | relaxed

abc: 3.8108 4.9443 6.1921
angles: 113.53 107.92 90.00
Last column: nearest neighbours and their distance in Å.
Element x y z (fractional)
Ge: 0.0000 0.9168 0.0000  8 Lu 2.95-3.12
Lu: 0.5000 0.4166 0.0000  4 Ge 3.12, 4 Lu 3.34
Lu: 0.7104 0.1270 0.4207  2 Ge 2.95, 4 Lu 3.23
Lu: 0.2896 0.7062 0.5793  2 Ge 2.95, 4 Lu 3.23

relative energy among the computed polymorphs: 0.000 eV/f.u.
energy: -4.9157 eV per atom



# 5
Lu11Ge10 | PBE | relaxed

abc: 11.0135 11.0135 11.0135
angles: 121.73 121.73 87.02
Last column: nearest neighbours and their distance in Å.
Element x y z (fractional)
Ge: 0.8886 0.8886 0.4175  1 Ge 2.57, 2 Lu 2.85
Ge: 0.0000 0.6426 0.6426  6 Lu 2.71-2.91
Ge: 0.6426 0.0000 0.6426  6 Lu 2.71-2.91
Ge: 0.3776 0.3776 0.7553  2 Ge 2.62
Ge: 0.8886 0.4710 0.0000  1 Ge 2.57, 2 Lu 2.85
Ge: 0.4710 0.4710 0.5825  1 Ge 2.57, 2 Lu 2.85
Ge: 0.5290 0.1114 0.0000  1 Ge 2.57, 2 Lu 2.85
Ge: 0.5290 0.5290 0.4175  1 Ge 2.57, 2 Lu 2.85
Ge: 0.1114 0.1114 0.5825  1 Ge 2.57, 2 Lu 2.85
Ge: 0.6224 0.6224 0.2447  2 Ge 2.62
Ge: 0.1114 0.5290 0.0000  1 Ge 2.57, 2 Lu 2.85
Ge: 0.7500 0.2500 0.5000  8 Lu 2.83-3.01
Ge: 0.2500 0.7500 0.5000  8 Lu 2.83-3.01
Ge: 0.3574 0.0000 0.3574  6 Lu 2.71-2.91
Ge: 0.0000 0.3574 0.3574  6 Lu 2.71-2.91
Ge: 0.6224 0.3776 0.0000  2 Ge 2.62
Ge: 0.4710 0.8886 0.0000  1 Ge 2.57, 2 Lu 2.85
Ge: 0.1141 0.1141 0.0000  8 Lu 2.96-3.23
Ge: 0.3776 0.6224 0.0000  2 Ge 2.62
Ge: 0.8859 0.8859 0.0000  8 Lu 2.96-3.23
Lu: 0.1761 0.8239 0.0000  2 Ge 2.71
Lu: 0.3395 0.3395 0.0000  8 Ge 3.17-3.18
Lu: 0.0622 0.8105 0.2517  6 Ge 2.83-3.16
Lu: 0.3978 0.0714 0.6736  7 Ge 2.85-3.03
Lu: 0.8239 0.1761 0.0000  2 Ge 2.71
Lu: 0.3978 0.7242 0.3264  7 Ge 2.85-3.03
Lu: 0.9286 0.6022 0.3264  7 Ge 2.85-3.03
Lu: 0.6605 0.6605 0.0000  8 Ge 3.17-3.18
Lu: 0.8105 0.5589 0.7483  6 Ge 2.83-3.16
Lu: 0.0714 0.3978 0.6736  7 Ge 2.85-3.03
Lu: 0.6022 0.9286 0.3264  7 Ge 2.85-3.03
Lu: 0.6022 0.2758 0.6736  7 Ge 2.85-3.03
Lu: 0.1895 0.9378 0.7483  6 Ge 2.83-3.16
Lu: 0.2758 0.6022 0.6736  7 Ge 2.85-3.03
Lu: 0.9378 0.1895 0.7483  6 Ge 2.83-3.16
Lu: 0.7242 0.3978 0.3264  7 Ge 2.85-3.03
Lu: 0.1761 0.1761 0.3523  2 Ge 2.71
Lu: 0.5589 0.8105 0.7483  6 Ge 2.83-3.16
Lu: 0.1895 0.4411 0.2517  6 Ge 2.83-3.16
Lu: 0.8105 0.0622 0.2517  6 Ge 2.83-3.16
Lu: 0.4411 0.1895 0.2517  6 Ge 2.83-3.16
Lu: 0.8239 0.8239 0.6477  2 Ge 2.71

energy: -5.3804 eV per atom



# 6
Lu3Ge | PBE | relaxed

abc: 4.5770 4.5774 4.5757
angles: 90.00 90.00 90.00
Last column: nearest neighbours and their distance in Å.
Element x y z (fractional)
Lu: 0.0000 0.0000 0.0833  4 Ge 3.24, 8 Lu 3.24
Lu: 0.5000 0.5000 0.0833  4 Ge 3.24, 8 Lu 3.24
Lu: 0.0000 0.5000 0.5833  8 Lu 3.24, 4 Ge 3.24
Ge: 0.5000 0.0000 0.5834  12 Lu 3.24

relative energy among the computed polymorphs: 0.323 eV/f.u.
energy: -4.8350 eV per atom



# 7
LuMg2Ge | PBE | relaxed

abc: 4.6560 4.2549 4.2549
angles: 90.00 90.00 90.00
Last column: nearest neighbours and their distance in Å.
Element x y z (fractional)
Mg: 0.0000 0.5000 0.0000  4 Mg 3.01, 4 Ge 3.15, 4 Lu 3.15
Mg: 0.0000 0.0000 0.5000  4 Mg 3.01, 4 Ge 3.15, 4 Lu 3.15
Lu: 0.5000 0.0000 0.0000  4 Ge 3.01, 8 Mg 3.15
Ge: 0.5000 0.5000 0.5000  4 Lu 3.01, 8 Mg 3.15

energy: -3.4254 eV per atom



# 8
LuMgGe2 | PBE | relaxed

abc: 4.5015 4.5015 5.4531
angles: 65.62 65.62 60.00
Last column: nearest neighbours and their distance in Å.
Element x y z (fractional)
Mg: 0.0000 0.0000 0.0000  6 Ge 2.82
Lu: 0.5000 0.5000 0.5000  6 Ge 2.90
Ge: 0.7435 0.7435 0.7696  3 Mg 2.82, 3 Lu 2.90
Ge: 0.2565 0.2565 0.2304  3 Mg 2.82, 3 Lu 2.90

relative energy among the computed polymorphs: 0.351 eV/f.u.
energy: -4.1799 eV per atom



# 9
Lu4MgGe4 | PBE | relaxed

abc: 7.0622 7.5926 14.3980
angles: 90.00 90.00 90.00
Last column: nearest neighbours and their distance in Å.
Element x y z (fractional)
Mg: 0.8355 0.4840 0.2500  3 Ge 2.70-2.79
Mg: 0.1645 0.5160 0.7500  3 Ge 2.70-2.79
Mg: 0.3355 0.0160 0.2500  3 Ge 2.70-2.79
Mg: 0.6645 0.9840 0.7500  3 Ge 2.70-2.79
Lu: 0.0060 0.1817 0.4071  7 Ge 2.90-3.18
Lu: 0.1656 0.6757 0.3739  6 Ge 2.78-3.01
Lu: 0.3345 0.1757 0.6261  6 Ge 2.78-3.01
Lu: 0.4940 0.6817 0.9071  7 Ge 2.90-3.18
Lu: 0.0060 0.1817 0.0929  7 Ge 2.90-3.18
Lu: 0.4940 0.6817 0.5929  7 Ge 2.90-3.18
Lu: 0.6656 0.8243 0.3739  6 Ge 2.78-3.01
Lu: 0.8344 0.3243 0.8739  6 Ge 2.78-3.01
Lu: 0.8344 0.3243 0.6261  6 Ge 2.78-3.01
Lu: 0.5060 0.3183 0.4071  7 Ge 2.90-3.18
Lu: 0.5060 0.3183 0.0929  7 Ge 2.90-3.18
Lu: 0.9940 0.8183 0.5929  7 Ge 2.90-3.18
Lu: 0.1656 0.6757 0.1261  6 Ge 2.78-3.01
Lu: 0.3345 0.1757 0.8739  6 Ge 2.78-3.01
Lu: 0.6656 0.8243 0.1261  6 Ge 2.78-3.01
Lu: 0.9940 0.8183 0.9071  7 Ge 2.90-3.18
Ge: 0.6767 0.0353 0.5360  1 Ge 2.76, 5 Lu 2.78-3.08
Ge: 0.7938 0.6412 0.7500  1 Ge 2.58, 2 Mg 2.76-2.79
Ge: 0.0283 0.0927 0.7500  1 Ge 2.58, 1 Mg 2.70, 4 Lu 2.85-2.87
Ge: 0.9717 0.9073 0.2500  1 Ge 2.58, 1 Mg 2.70, 4 Lu 2.85-2.87
Ge: 0.4717 0.5927 0.2500  1 Ge 2.58, 1 Mg 2.70, 4 Lu 2.85-2.87
Ge: 0.1767 0.4647 0.5360  1 Ge 2.76, 5 Lu 2.78-3.08
Ge: 0.2938 0.8588 0.7500  1 Ge 2.58, 2 Mg 2.76-2.79
Ge: 0.8233 0.5353 0.0360  1 Ge 2.76, 5 Lu 2.78-3.08
Ge: 0.2062 0.3588 0.2500  1 Ge 2.58, 2 Mg 2.76-2.79
Ge: 0.6767 0.0353 0.9640  1 Ge 2.76, 5 Lu 2.78-3.08
Ge: 0.3233 0.9647 0.0360  1 Ge 2.76, 5 Lu 2.78-3.08
Ge: 0.1767 0.4647 0.9640  1 Ge 2.76, 5 Lu 2.78-3.08
Ge: 0.3233 0.9647 0.4640  1 Ge 2.76, 5 Lu 2.78-3.08
Ge: 0.7062 0.1412 0.2500  1 Ge 2.58, 2 Mg 2.76-2.79
Ge: 0.8233 0.5353 0.4640  1 Ge 2.76, 5 Lu 2.78-3.08
Ge: 0.5283 0.4073 0.7500  1 Ge 2.58, 1 Mg 2.70, 4 Lu 2.85-2.87

energy: -5.0010 eV per atom



# 10
LuMgGe2 | PBE | relaxed

abc: 3.9393 4.5053 4.5053
angles: 90.00 90.00 90.00
Last column: nearest neighbours and their distance in Å.
Element x y z (fractional)
Lu: 0.5000 0.5000 0.5000  8 Ge 2.99, 4 Mg 3.19
Ge: 0.0000 0.0000 0.5000  4 Lu 2.99, 4 Mg 2.99, 4 Ge 3.19
Ge: 0.0000 0.5000 0.0000  4 Lu 2.99, 4 Mg 2.99, 4 Ge 3.19
Mg: 0.5000 0.0000 0.0000  8 Ge 2.99, 4 Lu 3.19

relative energy among the computed polymorphs: 0.000 eV/f.u.
energy: -4.2677 eV per atom



# 11
LuMgGe2 | PBE | relaxed

abc: 3.5820 3.5820 6.3388
angles: 90.00 90.00 90.00
Last column: nearest neighbours and their distance in Å.
Element x y z (fractional)
Ge: 0.0000 0.0000 0.2274  1 Ge 2.88, 4 Mg 2.91, 4 Lu 3.07
Ge: 0.0000 0.0000 0.7726  1 Ge 2.88, 4 Mg 2.91, 4 Lu 3.07
Mg: 0.5000 0.5000 0.0000  8 Ge 2.91, 2 Lu 3.17
Lu: 0.5000 0.5000 0.5000  8 Ge 3.07, 2 Mg 3.17

relative energy among the computed polymorphs: 0.416 eV/f.u.
energy: -4.1637 eV per atom



# 12
PmLuMgGe | PBE | relaxed

abc: 5.1519 5.1519 5.1519
angles: 60.00 60.00 60.00
Last column: nearest neighbours and their distance in Å.
Element x y z (fractional)
Ge: 0.2500 0.2500 0.2500  4 Pm 3.15, 4 Lu 3.15
Lu: 0.5000 0.5000 0.5000  4 Ge 3.15, 4 Mg 3.15
Mg: 0.7500 0.7500 0.7500  4 Lu 3.15, 4 Pm 3.15
Pm: 0.0000 0.0000 0.0000  4 Mg 3.15, 4 Ge 3.15

energy: -4.2003 eV per atom



- Among the records above, which one has the lowest energy?
  LiZr4Ge



- What is the energy in the seventh record?
  -3.4254 eV per atom